[1]
Computed, not measured: crystalline Pa2SeO6 at its relaxed geometry at the PBE level of DFT.

Cell and atoms, written as POSCAR:
```
Pa2SeO6
1.0
3.882 0.000 -0.992
-0.253 3.873 -0.992
0.280 0.299 9.187
Pa Se O
2 1 6
Cartesian
0.725 0.774 2.838
3.183 3.398 4.366
1.814 1.937 -0.992
3.186 1.501 0.667
2.502 2.671 6.082
1.290 3.277 0.667
0.838 0.895 6.992
2.988 1.118 3.602
0.920 3.054 3.602
```

Calculated values
Space-group type: I-42m

---

[2]
Computed, not measured: crystalline SmPaSe2O at its relaxed geometry at the PBE level of DFT.

Cell and atoms, written as POSCAR:
```
SmPaSe2O
1.0
4.024 0.000 0.000
0.000 4.024 0.000
0.000 0.000 14.024
Sm Pa Se O
2 2 4 2
Cartesian
2.012 0.000 8.166
0.000 2.012 5.857
2.012 0.000 1.453
0.000 2.012 12.571
0.000 2.012 9.840
0.000 2.012 1.558
2.012 0.000 12.466
2.012 0.000 4.184
0.000 0.000 7.012
2.012 2.012 7.012
```

Calculated values
Space-group type: P4/nmm
DOS(E_F), states/eV per cell: 6.81

---

[3]
Computed, not measured: crystalline Pa3SnSe2O6 at its relaxed geometry at the PBE level of DFT.

Cell and atoms, written as POSCAR:
```
Pa3SnSe2O6
1.0
5.815 0.000 1.222
0.000 7.654 0.000
0.953 -3.827 6.433
Pa Sn Se O
3 1 2 6
Cartesian
0.000 3.827 0.000
3.384 1.913 3.828
3.384 -1.913 3.828
2.908 0.000 0.611
1.598 3.827 2.516
5.170 0.000 5.140
4.707 2.299 2.209
2.062 1.528 5.446
3.905 3.827 4.710
2.863 0.000 2.945
2.062 -1.528 5.446
4.707 5.355 2.209
```

Calculated values
Space-group type: C2/m
DOS(E_F), states/eV per cell: 2.04

---

[4]
Computed, not measured: crystalline SrPaSeO6 at its relaxed geometry at the PBE level of DFT.

Cell and atoms, written as POSCAR:
```
SrPaSeO6
1.0
-2.280 -3.780 -3.405
2.772 -1.655 4.545
-8.933 0.361 5.580
Sr Pa Se O
2 2 2 12
Cartesian
0.000 0.000 0.000
-4.466 0.181 2.790
-1.145 -2.273 3.290
-7.295 -2.801 3.430
-2.829 -2.981 0.640
-5.611 -2.092 6.080
-1.084 -3.409 1.405
-2.536 -4.185 -0.869
-3.901 -2.700 6.801
-5.904 -0.888 7.589
-3.058 -1.916 2.260
-3.658 -4.542 1.470
-6.342 -3.612 7.065
-4.539 -2.374 -0.081
-4.782 -0.531 5.250
-2.099 -1.461 -0.345
-5.382 -3.158 4.460
-7.356 -1.664 5.315
```

Calculated values
Space-group type: P-31c
DOS(E_F), states/eV per cell: 8.03

---

[5]
Computed, not measured: crystalline Pa3TaSe2O6 at its relaxed geometry at the PBE level of DFT.

Cell and atoms, written as POSCAR:
```
Pa3TaSe2O6
1.0
-3.096 -3.182 2.908
4.157 0.420 4.885
-5.829 4.036 0.384
Pa Ta Se O
3 1 2 6
Cartesian
2.079 0.210 2.443
-2.384 0.637 4.089
-4.463 0.427 1.646
-1.548 -1.591 1.454
0.247 1.599 3.882
-5.015 -0.325 4.295
-1.626 -1.701 3.541
-3.142 2.975 4.636
-2.576 1.062 6.330
-2.192 0.212 1.847
-5.322 2.755 2.073
0.554 -1.480 6.104
```

Calculated values
Space-group type: C2/m
DOS(E_F), states/eV per cell: 7.87

---

[6]
Computed, not measured: crystalline Pa2TeSeO2 at its relaxed geometry at the PBE level of DFT.

Cell and atoms, written as POSCAR:
```
Pa2TeSeO2
1.0
-0.809 -2.226 -3.075
2.085 -1.437 2.942
-7.584 -2.788 4.014
Pa Te Se O
2 1 1 2
Cartesian
-4.435 -3.742 3.876
-1.873 -2.709 0.004
0.000 0.000 0.000
-3.792 -1.394 2.007
-0.860 -2.428 1.984
-5.448 -4.023 1.896
```

Calculated values
Space-group type: P-3m1
DOS(E_F), states/eV per cell: 3.80

---

no.,density (g cm⁻³),formation energy from raw total energies (eV per atom)
1,7.53,-2.384
2,8.12,-2.159
3,6.38,-2.557
4,5.78,-2.207
5,8.83,-2.441
6,9.88,-2.365